A relaxed structure of Na4InGa, computed with PBE.

The structure in CIF format:
```
data_Na4InGa
_chemical_formula_sum 'Na16 In4 Ga4'
_space_group_name_H-M_alt 'C 1 2/m 1'
_space_group_IT_number 12
_cell_length_a 5.0420
_cell_length_b 10.6465
_cell_length_c 12.5633
_cell_angle_alpha 90.00
_cell_angle_beta 100.37
_cell_angle_gamma 90.00
loop_
_space_group_symop_operation_xyz
'x,y,z'
'-x,-y,-z'
'-x,y,-z'
'x,-y,z'
'x+1/2,y+1/2,z'
'-x+1/2,-y+1/2,-z'
'-x+1/2,y+1/2,-z'
'x+1/2,-y+1/2,z'
loop_
_atom_site_label
_atom_site_type_symbol
_atom_site_fract_x
_atom_site_fract_y
_atom_site_fract_z
Na1 Na 0.0000 0.1574 0.0000
Na2 Na 0.1282 0.1586 0.2625
Na3 Na 0.1850 0.5000 0.3975
In1 In 0.0580 0.5000 0.1232
Ga1 Ga 0.0000 0.2356 0.5000
```

Properties
Uncorrected energy = -1.886 eV per atom
Formation energy from the elements = -0.05 eV/atom